P) # In3P4 (PBE, optimized geometry)
data_In3P4
_chemical_formula_sum 'In3 P4'
_cell_length_a 6.8594
_cell_length_b 6.8594
_cell_length_c 4.1160
_cell_angle_alpha 90.00
_cell_angle_beta 90.00
_cell_angle_gamma 120.00
_symmetry_space_group_name_H-M 'P 6/m m m'
_symmetry_Int_Tables_number 191
_symmetry_space_group_name_Hall '-P 6 2'
loop_
_atom_site_label
_atom_site_type_symbol
_atom_site_fract_x
_atom_site_fract_y
_atom_site_fract_z
In1 In 0.0000 0.5000 0.0000
P1 P 0.0000 0.0000 0.2533
P2 P 0.3333 0.6667 0.5000
# M_tot: 0.0 μB/f.u.

Q) # In3P4 (PBE, optimized geometry)
data_In3P4
_chemical_formula_sum 'In6 P8'
_cell_length_a 3.298
_cell_length_b 3.298
_cell_length_c 27.080
_cell_angle_alpha 90.00
_cell_angle_beta 90.00
_cell_angle_gamma 90.00
_symmetry_space_group_name_H-M 'I 4/m m m'
_symmetry_Int_Tables_number 139
_symmetry_space_group_name_Hall '-I 4 2'
loop_
_atom_site_label
_atom_site_type_symbol
_atom_site_fract_x
_atom_site_fract_y
_atom_site_fract_z
In1 In 0.000 0.000 0.000
In2 In 0.000 0.000 0.299
P1 P 0.000 0.000 0.115
P2 P 0.000 0.000 0.409
# M_tot: 0.0 μB/f.u.

The data favor Q); the next most stable structure lies 19.7 kJ/mol of atoms above it.

P) # In5P4 (PBE, optimized geometry)
data_In5P4
_chemical_formula_sum 'In10 P8'
_cell_length_a 10.198
_cell_length_b 10.198
_cell_length_c 4.102
_cell_angle_alpha 90.00
_cell_angle_beta 90.00
_cell_angle_gamma 90.00
_symmetry_space_group_name_H-M 'I 4/m m m'
_symmetry_Int_Tables_number 139
_symmetry_space_group_name_Hall '-I 4 2'
loop_
_atom_site_label
_atom_site_type_symbol
_atom_site_fract_x
_atom_site_fract_y
_atom_site_fract_z
In1 In 0.000 0.000 0.000
In2 In 0.169 0.169 0.500
P1 P 0.000 0.392 0.000
# M_tot: 0.0 μB/f.u.

Q) # In5P4 (PBE, optimized geometry)
data_In5P4
_chemical_formula_sum 'In10 P8'
_cell_length_a 7.8554
_cell_length_b 7.8554
_cell_length_c 7.5575
_cell_angle_alpha 90.00
_cell_angle_beta 90.00
_cell_angle_gamma 120.00
_symmetry_space_group_name_H-M 'P 63/m c m'
_symmetry_Int_Tables_number 193
_symmetry_space_group_name_Hall '-P 6c 2'
loop_
_atom_site_label
_atom_site_type_symbol
_atom_site_fract_x
_atom_site_fract_y
_atom_site_fract_z
In1 In 0.0000 0.2517 0.2500
In2 In 0.3333 0.6667 0.0000
P1 P 0.0000 0.0000 0.0000
P2 P 0.0000 0.4174 0.7500
# M_tot: 0.0 μB/f.u.

The data favor Q); the next most stable structure lies 14.5 kJ/mol of atoms above it.

P) # In3P5 (PBE, optimized geometry)
data_In3P5
_chemical_formula_sum 'In6 P10'
_cell_length_a 7.172
_cell_length_b 12.769
_cell_length_c 3.752
_cell_angle_alpha 90.00
_cell_angle_beta 90.00
_cell_angle_gamma 90.00
_symmetry_space_group_name_H-M 'C m m m'
_symmetry_Int_Tables_number 65
_symmetry_space_group_name_Hall '-C 2 2'
loop_
_atom_site_label
_atom_site_type_symbol
_atom_site_fract_x
_atom_site_fract_y
_atom_site_fract_z
In1 In 0.000 0.000 0.000
In2 In 0.000 0.298 0.500
P1 P 0.000 0.500 0.000
P2 P 0.208 0.500 0.500
P3 P 0.250 0.250 0.000
# M_tot: 0.0 μB/f.u.

Q) # In3P5 (PBE, optimized geometry)
data_In3P5
_chemical_formula_sum 'In6 P10'
_cell_length_a 7.086
_cell_length_b 7.811
_cell_length_c 8.240
_cell_angle_alpha 79.92
_cell_angle_beta 67.98
_cell_angle_gamma 72.49
_symmetry_space_group_name_H-M 'P 1'
_symmetry_Int_Tables_number 1
loop_
_symmetry_equiv_pos_as_xyz
'x,y,z'
loop_
_atom_site_label
_atom_site_type_symbol
_atom_site_fract_x
_atom_site_fract_y
_atom_site_fract_z
In1 In 0.000 0.000 0.000
In2 In 0.019 0.497 0.830
In3 In 0.324 0.230 0.233
In4 In 0.419 0.701 0.150
In5 In 0.661 0.401 0.682
In6 In 0.741 0.044 0.434
P1 P 0.136 0.267 0.585
P2 P 0.138 0.988 0.254
P3 P 0.152 0.528 0.085
P4 P 0.256 0.988 0.683
P5 P 0.527 0.005 0.759
P6 P 0.645 0.413 0.287
P7 P 0.646 0.712 0.818
P8 P 0.699 0.858 0.214
P9 P 0.724 0.308 0.028
P10 P 0.852 0.582 0.300
# M_tot: 0.0 μB/f.u.

The data favor Q); the next most stable structure lies 32.0 kJ/mol of atoms above it.

P) # InPPb2 (PBE, optimized geometry)
data_InPPb2
_chemical_formula_sum 'In2 P2 Pb4'
_cell_length_a 4.491
_cell_length_b 4.491
_cell_length_c 10.607
_cell_angle_alpha 90.00
_cell_angle_beta 90.00
_cell_angle_gamma 90.00
_symmetry_space_group_name_H-M 'I -4 m 2'
_symmetry_Int_Tables_number 119
_symmetry_space_group_name_Hall 'I -4 -2'
loop_
_atom_site_label
_atom_site_type_symbol
_atom_site_fract_x
_atom_site_fract_y
_atom_site_fract_z
In1 In 0.000 0.000 0.000
P1 P 0.000 0.500 0.750
Pb1 Pb 0.000 0.000 0.500
Pb2 Pb 0.000 0.500 0.250
# M_tot: 0.0 μB/f.u.

Q) # InPPb2 (PBE, optimized geometry)
data_InPPb2
_chemical_formula_sum 'In3 P3 Pb6'
_cell_length_a 3.9555
_cell_length_b 3.9555
_cell_length_c 24.6746
_cell_angle_alpha 90.00
_cell_angle_beta 90.00
_cell_angle_gamma 120.00
_symmetry_space_group_name_H-M 'R 3 m'
_symmetry_Int_Tables_number 160
_symmetry_space_group_name_Hall 'R 3 -2"'
loop_
_atom_site_label
_atom_site_type_symbol
_atom_site_fract_x
_atom_site_fract_y
_atom_site_fract_z
In1 In 0.0000 0.0000 0.0000
P1 P 0.0000 0.0000 0.7239
Pb1 Pb 0.0000 0.0000 0.2383
Pb2 Pb 0.0000 0.0000 0.4638
# M_tot: 0.0 μB/f.u.

R) # InPPb2 (PBE, optimized geometry)
data_InPPb2
_chemical_formula_sum 'In3 P3 Pb6'
_cell_length_a 4.0114
_cell_length_b 4.0114
_cell_length_c 24.7342
_cell_angle_alpha 90.00
_cell_angle_beta 90.00
_cell_angle_gamma 120.00
_symmetry_space_group_name_H-M 'R -3 m'
_symmetry_Int_Tables_number 166
_symmetry_space_group_name_Hall '-R 3 2"'
loop_
_atom_site_label
_atom_site_type_symbol
_atom_site_fract_x
_atom_site_fract_y
_atom_site_fract_z
In1 In 0.0000 0.0000 0.0000
P1 P 0.0000 0.0000 0.5000
Pb1 Pb 0.0000 0.0000 0.2342
# M_tot: 0.0 μB/f.u.

S) # InPPb2 (PBE, optimized geometry)
data_InPPb2
_chemical_formula_sum 'In1 P1 Pb2'
_cell_length_a 3.737
_cell_length_b 3.707
_cell_length_c 7.744
_cell_angle_alpha 90.00
_cell_angle_beta 90.41
_cell_angle_gamma 90.00
_symmetry_space_group_name_H-M 'P 1 2/m 1'
_symmetry_Int_Tables_number 10
loop_
_symmetry_equiv_pos_as_xyz
'x,y,z'
'-x,-y,-z'
'-x,y,-z'
'x,-y,z'
loop_
_atom_site_label
_atom_site_type_symbol
_atom_site_fract_x
_atom_site_fract_y
_atom_site_fract_z
In1 In 0.000 0.000 0.000
P1 P 0.000 0.000 0.500
Pb1 Pb 0.498 0.500 0.293
# M_tot: 0.0 μB/f.u.

The data favor Q); the next most stable structure lies 5.5 kJ/mol of atoms above it.

P) # InPPb2 (PBE, optimized geometry)
data_InPPb2
_chemical_formula_sum 'In1 P1 Pb2'
_cell_length_a 3.678
_cell_length_b 3.678
_cell_length_c 7.719
_cell_angle_alpha 90.00
_cell_angle_beta 90.00
_cell_angle_gamma 90.00
_symmetry_space_group_name_H-M 'P 4 m m'
_symmetry_Int_Tables_number 99
loop_
_symmetry_equiv_pos_as_xyz
'x,y,z'
'-y,x,z'
'-x,-y,z'
'y,-x,z'
'-x,y,z'
'y,x,z'
'x,-y,z'
'-y,-x,z'
loop_
_atom_site_label
_atom_site_type_symbol
_atom_site_fract_x
_atom_site_fract_y
_atom_site_fract_z
In1 In 0.000 0.000 0.000
P1 P 0.500 0.500 0.165
Pb1 Pb 0.000 0.000 0.406
Pb2 Pb 0.500 0.500 0.723
# M_tot: 0.0 μB/f.u.

Q) # InPPb2 (PBE, optimized geometry)
data_InPPb2
_chemical_formula_sum 'In2 P2 Pb4'
_cell_length_a 4.814
_cell_length_b 4.814
_cell_length_c 9.180
_cell_angle_alpha 90.00
_cell_angle_beta 90.00
_cell_angle_gamma 90.00
_symmetry_space_group_name_H-M 'I 4/m m m'
_symmetry_Int_Tables_number 139
_symmetry_space_group_name_Hall '-I 4 2'
loop_
_atom_site_label
_atom_site_type_symbol
_atom_site_fract_x
_atom_site_fract_y
_atom_site_fract_z
In1 In 0.000 0.000 0.000
P1 P 0.000 0.000 0.500
Pb1 Pb 0.000 0.500 0.250
# M_tot: 0.0 μB/f.u.

The data favor P); the next most stable structure lies 7.8 kJ/mol of atoms above it.